Crystalline BeHg2Ir at its relaxed geometry, computed with GGA-PBE.

The structure in POSCAR format:
```
BeHg2Ir
1.0
-1.959 1.959 9.609
1.959 -1.959 9.609
1.959 1.959 -9.609
Be Hg Ir
2 4 2
direct
0.000 0.000 0.000 Be
0.750 0.250 0.500 Be
0.124 0.625 0.999 Hg
0.375 0.374 0.499 Hg
0.626 0.125 0.001 Hg
0.875 0.876 0.501 Hg
0.250 0.750 0.500 Ir
0.500 0.500 0.000 Ir
```

Computed properties:
ΔE_f	707	meV per atom
Fermi-level density of states	0.491	states/eV/atom

---

Crystalline KTcCl2 at its relaxed geometry, computed with GGA-PBE.

The structure in POSCAR format:
```
KTcCl2
1.0
-1.772 3.234 4.541
1.772 -3.234 4.541
1.772 3.234 -4.541
K Tc Cl
1 1 2
direct
0.000 0.000 0.000 K
0.500 0.500 0.000 Tc
0.319 0.819 0.500 Cl
0.681 0.181 0.500 Cl
```

Computed properties:
offset from the most stable computed form	62	meV per atom
formation energy (no corrections)	-0.36	eV per atom
Fermi-level density of states	0.220	states/eV/atom

---

Crystalline HfV6W2 at its relaxed geometry, computed with GGA-PBE.

The structure in POSCAR format:
```
HfV6W2
1.0
6.755 -3.827 0.000
6.755 3.827 0.000
-0.169 0.000 2.647
Hf V W
1 6 2
direct
0.000 0.000 0.000 Hf
0.001 0.652 0.664 V
0.338 0.662 0.500 V
0.348 0.999 0.336 V
0.652 0.001 0.664 V
0.662 0.338 0.500 V
0.999 0.348 0.336 V
0.333 0.333 0.006 W
0.667 0.667 0.994 W
```

Computed properties:
ΔE_f	181	meV per atom
Fermi-level density of states	1.304	states/eV/atom

---

Crystalline YBeIrAu2 at its relaxed geometry, computed with GGA-PBE.

The structure in POSCAR format:
```
YBeIrAu2
1.0
4.478 0.000 0.000
0.000 4.478 0.000
0.000 0.000 4.430
Y Be Ir Au
1 1 1 2
direct
0.000 0.000 0.000 Y
0.500 0.500 0.500 Be
0.500 0.500 0.000 Ir
0.000 0.500 0.500 Au
0.500 0.000 0.500 Au
```

Computed properties:
ΔE_f	-371	meV per atom
Fermi-level density of states	0.703	states/eV/atom

---

Crystalline Zr2Nb2Ga7 at its relaxed geometry, computed with GGA-PBE.

The structure in POSCAR format:
```
Zr2Nb2Ga7
1.0
5.462 -4.275 0.000
5.462 4.275 0.000
-2.027 0.000 4.260
Zr Nb Ga
2 2 7
direct
0.193 0.807 0.000 Zr
0.807 0.193 0.000 Zr
0.257 0.257 0.758 Nb
0.743 0.743 0.242 Nb
0.000 0.000 0.500 Ga
0.120 0.496 0.308 Ga
0.496 0.120 0.308 Ga
0.500 0.500 0.248 Ga
0.500 0.500 0.752 Ga
0.504 0.880 0.692 Ga
0.880 0.504 0.692 Ga
```

Computed properties:
ΔE_f	-183	meV per atom
Fermi-level density of states	0.543	states/eV/atom

---

Crystalline CaAl3Mo at its relaxed geometry, computed with GGA-PBE.

The structure in POSCAR format:
```
CaAl3Mo
1.0
4.991 0.000 0.000
0.000 4.991 0.000
0.000 0.000 4.991
Ca Al Mo
1 3 1
direct
0.000 0.000 0.000 Ca
0.000 0.000 0.500 Al
0.000 0.500 0.000 Al
0.500 0.000 0.000 Al
0.500 0.500 0.500 Mo
```

Computed properties:
ΔE_f	2081	meV per atom
offset from the most stable computed form	2066	meV per atom
Fermi-level density of states	2.142	states/eV/atom

---

Crystalline Cd2CoAg at its relaxed geometry, computed with GGA-PBE.

The structure in POSCAR format:
```
Cd2CoAg
1.0
-2.031 2.031 4.253
2.031 -2.031 4.253
2.031 2.031 -4.253
Cd Co Ag
2 1 1
direct
0.000 0.000 0.000 Cd
0.750 0.250 0.500 Cd
0.250 0.750 0.500 Co
0.500 0.500 0.000 Ag
```

Computed properties:
ΔE_f	269	meV per atom
Fermi-level density of states	1.216	states/eV/atom

---

Crystalline TmLuCo at its relaxed geometry, computed with GGA-PBE.

The structure in POSCAR format:
```
TmLuCo
1.0
-1.651 1.651 6.152
1.651 -1.651 6.152
1.651 1.651 -6.152
Tm Lu Co
1 1 1
direct
0.000 0.000 0.000 Tm
0.259 0.259 0.000 Lu
0.631 0.631 0.000 Co
```

Computed properties:
ΔE_f	-186	meV per atom
offset from the most stable computed form	0	meV per atom
Fermi-level density of states	0.563	states/eV/atom

---

- What is the formula in the fourth record?
  YBeIrAu2

---

- What is the formula in the seventh record?
  Cd2CoAg

---

Copy entry 4 word for word.
Crystalline YBeIrAu2 at its relaxed geometry, computed with GGA-PBE.

The structure in POSCAR format:
```
YBeIrAu2
1.0
4.478 0.000 0.000
0.000 4.478 0.000
0.000 0.000 4.430
Y Be Ir Au
1 1 1 2
direct
0.000 0.000 0.000 Y
0.500 0.500 0.500 Be
0.500 0.500 0.000 Ir
0.000 0.500 0.500 Au
0.500 0.000 0.500 Au
```

Computed properties:
ΔE_f	-371	meV per atom
Fermi-level density of states	0.703	states/eV/atom